Entry 1:
DFT (PBE) results for a relaxed Sn2Hg4Bi5 crystal.

Cell lengths 3.3689, 9.1616, 12.5504 Å; angles 118.56, 97.71, 90.00 degrees
Fractional coordinates of all 11 atoms:
Sn 0.9066 0.2875 0.8132
Sn 0.0934 0.7125 0.1868
Hg 0.6805 0.4576 0.3611
Hg 0.0415 0.3476 0.0830
Hg 0.3195 0.5424 0.6389
Hg 0.9585 0.6524 0.9170
Bi 0.1292 0.0879 0.2584
Bi 0.8708 0.9121 0.7416
Bi 0.2330 0.8237 0.4660
Bi 0.5000 0.0000 0.0000
Bi 0.7670 0.1763 0.5340

Properties
Fermi-level density of states   0.58 states/eV per atom
Energy of formation from the pure elements   0.109 eV/atom
M_tot   0.00 μB per cell

---

Entry 2:
DFT (PBE) results for a relaxed SnHg4Bi crystal.

Cell lengths 8.9559, 9.9342, 3.3472 Å; angles 70.85, 90.22, 138.56 degrees
Fractional coordinates of all 6 atoms:
Sn 0.9954 0.5000 0.9888
Hg 0.2717 0.1320 0.7920
Hg 0.7239 0.8730 0.0606
Hg 0.7784 0.6239 0.7703
Hg 0.2199 0.3833 0.0177
Bi 0.4995 0.0041 0.8783

Properties
Fermi-level density of states   0.38 states/eV per atom
Energy of formation from the pure elements   0.040 eV/atom
M_tot   0.00 μB per cell
Excess energy over the best structure of this formula in the dataset   0 meV per atom

---

Entry 3:
DFT (PBE) results for a relaxed SnHg12Bi6 crystal.

Cell lengths 8.3432, 8.3432, 8.3432 Å; angles 88.24, 88.24, 88.24 degrees
Fractional coordinates of all 19 atoms:
Sn 0.0000 0.0000 0.0000
Hg 0.5381 0.1833 0.5396
Hg 0.1833 0.5396 0.5381
Hg 0.5396 0.5381 0.1833
Hg 0.4619 0.8167 0.4604
Hg 0.8167 0.4604 0.4619
Hg 0.4604 0.4619 0.8167
Hg 0.9471 0.8475 0.6358
Hg 0.3642 0.0529 0.1525
Hg 0.1525 0.3642 0.0529
Hg 0.0529 0.1525 0.3642
Hg 0.6358 0.9471 0.8475
Hg 0.8475 0.6358 0.9471
Bi 0.1874 0.1930 0.6999
Bi 0.8070 0.3001 0.8126
Bi 0.3001 0.8126 0.8070
Bi 0.8126 0.8070 0.3001
Bi 0.1930 0.6999 0.1874
Bi 0.6999 0.1874 0.1930

Properties
Fermi-level density of states   0.39 states/eV per atom
Energy of formation from the pure elements   0.082 eV/atom
M_tot   0.00 μB per cell

---

Entry 4:
DFT (PBE) results for a relaxed Sn2Hg5Bi2 crystal.

Cell lengths 7.0214, 9.5763, 9.5763 Å; angles 68.73, 68.49, 68.49 degrees
Fractional coordinates of all 18 atoms:
Sn 0.1981 0.0000 0.0000
Sn 0.6981 0.5000 0.5000
Sn 0.9182 0.2300 0.2700
Sn 0.4182 0.7700 0.7300
Hg 0.2439 0.2191 0.6732
Hg 0.1361 0.7809 0.3268
Hg 0.7439 0.1732 0.7191
Hg 0.6361 0.8268 0.2809
Hg 0.8182 0.3233 0.9508
Hg 0.0923 0.6767 0.0492
Hg 0.3182 0.4508 0.8233
Hg 0.5923 0.5492 0.1767
Hg 0.1407 0.9809 0.5191
Hg 0.6407 0.0191 0.4809
Bi 0.4239 0.1653 0.1033
Bi 0.6925 0.8346 0.8967
Bi 0.9239 0.6033 0.6654
Bi 0.1925 0.3967 0.3346

Properties
Fermi-level density of states   0.29 states/eV per atom
Energy of formation from the pure elements   0.071 eV/atom
M_tot   0.00 μB per cell

---

Among the records above, which one has the highest energy of formation from the pure elements?
Sn2Hg4Bi5